Record 1
KLi2W | the Alexandria database | PBEsol | optimized geometry; space group = Cmmm, No. 65; ΔE to the lowest computed polymorph = 0 meV/atom; E = -3.933 eV/atom; ΔE_f = 0.786 eV/atom; V = 20.4 Å³ per atom
1.0
2.747 -0.027 0.000
-0.867 2.607 0.000
0.000 0.000 11.444
K Li W
1 2 1
Direct
0.500 0.500 0.000
0.000 0.000 0.298
0.000 0.000 0.702
0.500 0.500 0.500


Record 2
KLi2W | the Alexandria database | PBEsol | optimized geometry; space group = P4/mmm, No. 123; ΔE to the lowest computed polymorph = 7 meV/atom; E = -3.925 eV/atom; ΔE_f = 0.793 eV/atom; V = 20.4 Å³ per atom
1.0
-0.780 -1.150 2.386
0.075 -2.496 -1.179
10.253 -1.040 2.851
K Li W
1 2 1
Direct
0.500 0.500 0.500
0.000 0.000 0.806
0.000 0.000 0.194
0.500 0.500 0.000


Record 3
KLi2W | the Alexandria database | PBEsol | optimized geometry; space group = C2/m, No. 12; ΔE to the lowest computed polymorph = 166 meV/atom; E = -3.767 eV/atom; ΔE_f = 0.952 eV/atom; V = 22.1 Å³ per atom
1.0
2.581 0.000 0.000
-1.290 4.876 0.010
0.000 -0.271 7.035
K Li W
1 2 1
Direct
0.000 0.000 0.500
0.760 0.521 0.837
0.240 0.479 0.163
0.500 0.000 0.000


Record 4
KLiW2 | the Alexandria database | PBEsol | optimized geometry; space group = P4mm, No. 99; ΔE to the lowest computed polymorph = 77 meV/atom; E = -6.837 eV/atom; ΔE_f = 0.842 eV/atom; V = 23.0 Å³ per atom
1.0
3.260 0.000 0.000
0.000 3.260 0.000
0.000 0.000 8.662
K Li W
1 1 2
Direct
0.000 0.000 0.484
0.500 0.500 0.829
0.000 0.000 0.029
0.500 0.500 0.158


Record 5
KLiW2 | the Alexandria database | PBEsol | optimized geometry; space group = Pmm2, No. 25; ΔE to the lowest computed polymorph = 173 meV/atom; E = -6.741 eV/atom; ΔE_f = 0.938 eV/atom; V = 21.9 Å³ per atom
1.0
2.618 0.000 0.000
0.000 4.213 0.000
0.000 0.000 7.936
K Li W
1 1 2
Direct
0.000 0.000 0.489
0.500 0.500 0.827
0.000 0.000 0.017
0.500 0.500 0.167


Record 6
K2LiW | the Alexandria database | PBEsol | optimized geometry; space group = Fm-3m, No. 225; E = -2.835 eV/atom; ΔE_f = 1.676 eV/atom; V = 36.2 Å³ per atom
1.0
-0.085 -0.679 -5.854
4.885 -1.669 -2.844
0.346 -5.396 -2.347
K Li W
2 1 1
Direct
0.250 0.250 0.250
0.750 0.750 0.750
0.000 0.000 0.000
0.500 0.500 0.500


Record 7
KLiW2 | the Alexandria database | PBEsol | optimized geometry; space group = Pm, No. 6; ΔE to the lowest computed polymorph = 130 meV/atom; E = -6.783 eV/atom; ΔE_f = 0.895 eV/atom; V = 21.9 Å³ per atom
1.0
-0.070 -1.980 -1.805
3.990 -0.796 0.719
-2.009 -4.090 6.629
K Li W
1 1 2
Direct
0.579 0.000 0.487
0.278 0.500 0.834
0.946 0.000 0.013
0.697 0.500 0.166


Record 8
KLiW2 | the Alexandria database | PBEsol | optimized geometry; space group = Cmm2, No. 35; ΔE to the lowest computed polymorph = 0 meV/atom; E = -6.913 eV/atom; ΔE_f = 0.765 eV/atom; V = 19.7 Å³ per atom
1.0
-2.428 -1.104 0.890
0.198 -0.143 -2.801
4.657 -9.583 0.820
K Li W
1 1 2
Direct
0.000 0.000 0.513
0.500 0.500 0.202
0.000 0.000 0.988
0.500 0.500 0.797


Record 9
KLiW2 | the Alexandria database | PBEsol | optimized geometry; space group = P4/mmm, No. 123; ΔE to the lowest computed polymorph = 1448 meV/atom; E = -5.466 eV/atom; ΔE_f = 2.213 eV/atom; V = 20.0 Å³ per atom
1.0
2.519 0.000 0.000
0.000 5.630 0.000
0.000 0.000 5.630
K Li W
1 1 2
Direct
0.500 0.500 0.500
0.500 0.000 0.000
0.000 0.000 0.500
0.000 0.500 0.000


Record 10
KLiW2 | the Alexandria database | PBEsol | optimized geometry; space group = I4/mmm, No. 139; ΔE to the lowest computed polymorph = 627 meV/atom; E = -6.287 eV/atom; ΔE_f = 1.392 eV/atom; V = 19.4 Å³ per atom
1.0
-1.954 1.193 -2.889
-2.987 0.292 2.141
3.901 4.650 1.634
K Li W
1 1 2
Direct
0.500 0.500 0.000
0.000 0.000 0.000
0.750 0.250 0.500
0.250 0.750 0.500


Record 11
KLi2W | the Alexandria database | PBEsol | optimized geometry; space group = Cm, No. 8; ΔE to the lowest computed polymorph = 218 meV/atom; E = -3.715 eV/atom; ΔE_f = 1.004 eV/atom; V = 20.1 Å³ per atom
1.0
-1.322 1.699 -1.427
-3.816 -3.682 1.487
-1.073 3.156 4.754
K Li W
1 2 1
Direct
0.245 0.491 0.786
0.997 0.995 0.985
0.759 0.519 0.302
0.498 0.995 0.428


Record 12
KLiZn2 | the Alexandria database | PBEsol | optimized geometry; space group = Cmmm, No. 65; ΔE to the lowest computed polymorph = 165 meV/atom; E = -1.273 eV/atom; ΔE_f = 0.293 eV/atom; V = 23.3 Å³ per atom
1.0
3.093 0.000 0.000
0.000 5.598 0.005
0.000 -1.505 5.392
K Li Zn
1 1 2
Direct
0.500 0.000 0.000
0.500 0.500 0.500
0.000 0.500 0.000
0.000 0.000 0.500


Question: Which value of ΔE_f does entry 5 give?
Answer: 0.938 eV/atom